Record 1
Material: ZrTc2PdCl
Method: DFT, meta-GGA SCAN
State: PBEsol geometry

Computed properties:
- Formation energy (no corrections): 62 kJ/mol of atoms

a = 4.323 Å, b = 4.323 Å, c = 4.450 Å
α = 90.00°, β = 90.00°, γ = 90.00°
Fractional coordinates of all 5 atoms:
Zr (0.500, 0.500, 0.500)
Pd (0.000, 0.000, 0.500)
Tc (0.000, 0.500, 0.000)
Tc (0.500, 0.000, 0.000)
Cl (0.000, 0.000, 0.000)

Record 2
Material: Te2PdCl10
Method: DFT, meta-GGA SCAN
State: PBEsol geometry

Computed properties:
- Formation energy (no corrections): -62 kJ/mol of atoms

a = 7.282 Å, b = 14.004 Å, c = 15.585 Å
α = 89.95°, β = 90.00°, γ = 90.00°
Fractional coordinates of all 52 atoms:
Cl (0.325, 0.616, 0.632)
Cl (0.568, 0.282, 0.752)
Te (0.431, 0.261, 0.454)
Cl (0.222, 0.889, 0.116)
Cl (0.722, 0.611, 0.384)
Cl (0.688, 0.334, 0.992)
Te (0.069, 0.761, 0.954)
Cl (0.578, 0.507, 0.168)
Cl (0.188, 0.411, 0.414)
Cl (0.278, 0.389, 0.616)
Cl (0.150, 0.362, 0.030)
Te (0.569, 0.739, 0.546)
Cl (0.350, 0.862, 0.530)
Cl (0.734, 0.860, 0.069)
Cl (0.675, 0.384, 0.368)
Cl (0.234, 0.640, 0.431)
Cl (0.432, 0.718, 0.248)
Te (0.408, 0.559, 0.289)
Cl (0.266, 0.140, 0.931)
Cl (0.312, 0.911, 0.914)
Cl (0.688, 0.089, 0.086)
Cl (0.932, 0.782, 0.252)
Cl (0.922, 0.007, 0.668)
Cl (0.123, 0.540, 0.219)
Te (0.908, 0.941, 0.211)
Te (0.931, 0.239, 0.046)
Pd (0.242, 0.014, 0.023)
Te (0.592, 0.441, 0.711)
Te (0.092, 0.059, 0.789)
Cl (0.175, 0.116, 0.132)
Cl (0.877, 0.460, 0.781)
Cl (0.825, 0.884, 0.868)
Cl (0.634, 0.782, 0.687)
Cl (0.850, 0.638, 0.970)
Cl (0.312, 0.666, 0.008)
Cl (0.778, 0.111, 0.884)
Pd (0.258, 0.514, 0.523)
Cl (0.866, 0.282, 0.187)
Cl (0.812, 0.589, 0.586)
Pd (0.742, 0.486, 0.477)
Cl (0.377, 0.040, 0.719)
Cl (0.366, 0.218, 0.313)
Cl (0.188, 0.166, 0.508)
Pd (0.758, 0.986, 0.977)
Cl (0.812, 0.834, 0.492)
Cl (0.422, 0.493, 0.832)
Cl (0.623, 0.960, 0.281)
Cl (0.078, 0.993, 0.332)
Cl (0.766, 0.360, 0.569)
Cl (0.650, 0.138, 0.470)
Cl (0.134, 0.718, 0.813)
Cl (0.068, 0.218, 0.748)

Record 3
Material: TePd2Cl
Method: DFT, meta-GGA SCAN
State: PBEsol geometry

Computed properties:
- Formation energy (no corrections): -1 kJ/mol of atoms

a = 4.647 Å, b = 4.647 Å, c = 4.647 Å
α = 60.00°, β = 60.00°, γ = 60.00°
Fractional coordinates of all 4 atoms:
Pd (0.750, 0.750, 0.750)
Te (0.500, 0.500, 0.500)
Pd (0.250, 0.250, 0.250)
Cl (0.000, 0.000, 0.000)

Record 4
Material: Te2Pd2Cl
Method: DFT, meta-GGA SCAN
State: PBEsol geometry

Computed properties:
- Formation energy (no corrections): -34 kJ/mol of atoms

a = 3.910 Å, b = 3.910 Å, c = 7.644 Å
α = 104.82°, β = 104.82°, γ = 90.00°
Fractional coordinates of all 5 atoms:
Te (0.624, 0.624, 0.248)
Pd (0.750, 0.250, 0.500)
Cl (0.000, 0.000, 0.000)
Te (0.376, 0.376, 0.752)
Pd (0.250, 0.750, 0.500)

no.,uncorrected energy (eV/cell)
1,-138.35
2,-781.47
3,-110.82
4,-149.78